Compound: Na5Hg3Bi3
Source: Alexandria via LeMat-Bulk
Functional: PBE
Structure: relaxed

Properties
Its formation energy is 0.089 eV per atom. The raw total energy comes out at -18.16 eV/cell. The calculation puts the calculated density at 4.96 g/cm3.

Unit cell a=5.713 b=9.535 c=9.535 alpha=120.00 beta=90.00 gamma=90.00
Sites, in units of the cell vectors:
Bi: 0.000 0.369 0.000
Na: 0.500 0.734 0.000
Hg: 0.500 0.000 0.367
Bi: 0.000 0.000 0.369
Hg: 0.500 0.367 0.000
Hg: 0.500 0.633 0.633
Na: 0.500 0.667 0.333
Na: 0.500 0.333 0.667
Bi: 0.000 0.631 0.631
Na: 0.500 0.000 0.734
Na: 0.500 0.266 0.266

---

Compound: MnCr2Os6
Source: Alexandria via LeMat-Bulk
Functional: PBE
Structure: relaxed

Properties
Its formation energy is 0.292 eV per atom. The raw total energy comes out at -186.33 eV/cell. The calculation puts the calculated density at 17.24 g/cm3.

Unit cell a=5.092 b=7.408 c=7.408 alpha=65.53 beta=81.59 gamma=81.59
Last column: magnetic moment on the atom in μB.
Sites, in units of the cell vectors:
Os: 0.788 0.985 0.733  -0.05
Os: 0.209 0.396 0.960  -0.01
Os: 0.009 0.651 0.330  -0.06
Os: 0.791 0.604 0.040  -0.01
Os: 0.712 0.267 0.015  -0.05
Cr: 0.917 0.293 0.351  -0.05
Cr: 0.083 0.707 0.649  -0.05
Cr: 0.417 0.351 0.293  -0.05
Os: 0.212 0.015 0.267  -0.05
Cr: 0.583 0.649 0.707  -0.05
Os: 0.991 0.349 0.670  -0.06
Os: 0.288 0.733 0.985  -0.05
Mn: 0.250 0.074 0.926  1.55
Os: 0.291 0.040 0.604  -0.01
Mn: 0.750 0.926 0.074  1.55
Os: 0.509 0.330 0.651  -0.06
Os: 0.709 0.960 0.396  -0.01
Os: 0.491 0.670 0.349  -0.06

---

Compound: Mn2PPt
Source: Alexandria via LeMat-Bulk
Functional: PBE
Structure: relaxed

Properties
Its formation energy is -0.154 eV per atom. The raw total energy comes out at -30.41 eV/cell. The calculation puts the calculated density at 10.55 g/cm3.

Unit cell a=2.851 b=2.851 c=6.509 alpha=90.00 beta=90.00 gamma=90.00
Last column: magnetic moment on the atom in μB.
Sites, in units of the cell vectors:
P: 0.000 0.000 0.450  0.03
Mn: 0.500 0.500 0.294  -0.34
Pt: 0.500 0.500 0.734  0.12
Mn: 0.000 0.000 0.022  3.54

---

Compound: HfNbVI2
Source: Alexandria via LeMat-Bulk
Functional: PBE
Structure: relaxed

Properties
For the uncorrected formation energy, the calculation gives 1524 meV per atom. The raw total energy comes out at -24.62 eV/cell. The calculation puts the calculated density at 6.35 g/cm3.

Unit cell a=5.428 b=5.109 c=5.428 alpha=90.00 beta=90.00 gamma=90.00
Last column: magnetic moment on the atom in μB.
Sites, in units of the cell vectors:
Hf: 0.000 0.500 0.000  -0.04
V: 0.500 0.500 0.500  0.12
Nb: 0.000 0.000 0.000  0.02
I: 0.000 0.000 0.500  0.00
I: 0.500 0.000 0.000  0.00

---

Compound: TcIr2F
Source: Alexandria via LeMat-Bulk
Functional: PBE
Structure: relaxed

Properties
Its distance to the lowest polymorph of the same formula is 175 meV/atom. For the uncorrected formation energy, the calculation gives 430 meV per atom. The raw total energy comes out at -56.48 eV/cell. The calculation puts the calculated density at 13.72 g/cm3.

Unit cell a=6.696 b=6.696 c=5.454 alpha=52.13 beta=52.13 gamma=90.00
Sites, in units of the cell vectors:
Ir: 0.875 0.884 0.750
F: 0.250 0.750 0.500
F: 0.500 0.500 0.000
Tc: 0.750 0.250 0.500
Tc: 0.000 0.000 0.000
Ir: 0.634 0.125 0.250
Ir: 0.375 0.366 0.750
Ir: 0.116 0.625 0.250

---

Compound: RbTlCuF6
Source: Alexandria via LeMat-Bulk
Functional: PBE
Structure: relaxed

Properties
For the uncorrected formation energy, the calculation gives -1960 meV per atom. The raw total energy comes out at -72.59 eV/cell. The calculation puts the calculated density at 4.76 g/cm3.

Unit cell a=8.012 b=7.544 c=7.705 alpha=119.31 beta=121.33 gamma=90.00
Last column: magnetic moment on the atom in μB.
Sites, in units of the cell vectors:
Tl: 0.000 0.000 0.500  -0.01
F: 0.537 0.287 0.075  0.10
F: 0.463 0.713 0.925  0.10
Cu: 0.500 0.500 0.000  0.74
F: 0.185 0.343 0.732  0.04
Tl: 0.500 0.000 0.500  -0.01
Cu: 0.500 0.000 0.000  0.74
Rb: 0.821 0.571 0.642  0.00
F: 0.848 0.098 0.697  0.00
F: 0.453 0.657 0.268  0.04
F: 0.547 0.890 0.732  0.04
F: 0.815 0.657 0.268  0.04
F: 0.152 0.902 0.303  0.00
F: 0.815 0.110 0.268  0.04
Rb: 0.179 0.429 0.358  0.00
F: 0.547 0.343 0.732  0.04
F: 0.185 0.890 0.732  0.04
F: 0.453 0.110 0.268  0.04

---

Compound: PmDy2FeN4
Source: Alexandria via LeMat-Bulk
Functional: PBE
Structure: relaxed

Properties
For the uncorrected formation energy, the calculation gives -1121 meV per atom. The raw total energy comes out at -129.38 eV/cell. The calculation puts the calculated density at 8.63 g/cm3.

Unit cell a=3.399 b=5.954 c=11.551 alpha=90.00 beta=90.00 gamma=106.58
Sites, in units of the cell vectors:
N: 0.000 0.000 0.500
N: 0.415 0.830 0.750
N: 0.732 0.465 0.869
Pm: 0.118 0.235 0.750
Fe: 0.846 0.692 0.750
Pm: 0.882 0.765 0.250
N: 0.268 0.535 0.369
N: 0.732 0.465 0.631
Dy: 0.632 0.264 0.045
Dy: 0.368 0.736 0.545
N: 0.000 0.000 0.000
Dy: 0.632 0.264 0.455
Fe: 0.154 0.308 0.250
N: 0.585 0.170 0.250
N: 0.268 0.535 0.131
Dy: 0.368 0.736 0.955

---

> Look up the calculated density of the fourth one.

6.35 g/cm3

---

> Look up the raw total energy of the fourth one.

-24.62 eV/cell

---

> Look up the raw total energy of the third one.

-30.41 eV/cell